Entry 1:
Compound: LaHoTh3
Source: Alexandria
Functional: GGA-PBE
Structure: relaxed

a b c (Å): 10.0163 11.8952 6.0128
angles (deg): 90.00 90.00 90.00
Space group Imma (No. 74)
Inequivalent atoms, fractional coordinates:
La: 0.2500 0.2500 0.2500 [4 per cell]
Ho: 0.0000 0.2500 0.6979 [4 per cell]
Th: 0.0000 0.0000 0.0000 [4 per cell]
Th: 0.1677 0.0000 0.5000 [8 per cell]

Results
* E_form: 347 meV per atom
* V: 716 Å³ per cell
* total magnetic moment: 0.000 μB/cell
* Fermi-level density of states: 38.2 states/eV per cell
* E: -6.0057 eV per atom

=====

Entry 2:
Compound: LaHo3Th
Source: Alexandria
Functional: GGA-PBE
Structure: relaxed

a b c (Å): 6.6659 9.7028 11.1199
angles (deg): 90.00 92.80 90.00
Space group C2/m (No. 12)
Inequivalent atoms, fractional coordinates:
La: 0.0000 0.1966 0.0000 [4 per cell]
Ho: 0.2214 0.0000 0.2967 [4 per cell]
Ho: 0.2288 0.3372 0.2574 [8 per cell]
Th: 0.0000 0.2650 0.5000 [4 per cell]

Results
* E_form: 388 meV per atom
* V: 718 Å³ per cell
* total magnetic moment: 0.002 μB/cell
* Fermi-level density of states: 29.6 states/eV per cell
* E: -4.8285 eV per atom

=====

Entry 3:
Compound: LaHo7Th3
Source: Alexandria
Functional: GGA-PBE
Structure: relaxed

a b c (Å): 7.0619 7.0619 8.5799
angles (deg): 90.00 90.00 120.00
Space group P3m1 (No. 156)
Inequivalent atoms, fractional coordinates:
La: 0.0000 0.0000 0.0000 [1 per cell]
Ho: 0.0031 0.5015 0.9964 [3 per cell]
Ho: 0.3327 0.1664 0.6564 [3 per cell]
Ho: 0.3333 0.6667 0.6575 [1 per cell]
Th: 0.1676 0.3351 0.3288 [3 per cell]

Results
* E_form: 220 meV per atom
* V: 371 Å³ per cell
* total magnetic moment: 0.000 μB/cell
* Fermi-level density of states: 15.7 states/eV per cell
* E: -5.1647 eV per atom

=====

Entry 4:
Compound: La3Ho4Th2
Source: Alexandria
Functional: GGA-PBE
Structure: relaxed

a b c (Å): 7.0946 8.5775 10.4210
angles (deg): 99.04 99.23 102.34
Space group P-1 (No. 2)
Inequivalent atoms, fractional coordinates:
La: 0.0363 0.1702 0.4515 [2 per cell]
La: 0.2570 0.5083 0.9957 [2 per cell]
La: 0.3605 0.1701 0.7721 [2 per cell]
Ho: 0.0631 0.8429 0.8946 [2 per cell]
Ho: 0.1472 0.8323 0.2393 [2 per cell]
Ho: 0.3334 0.4760 0.3388 [2 per cell]
Ho: 0.4678 0.8335 0.5560 [2 per cell]
Th: 0.1679 0.5288 0.6601 [2 per cell]
Th: 0.4444 0.1559 0.1133 [2 per cell]

Results
* E_form: 61 meV per atom
* V: 599 Å³ per cell
* total magnetic moment: 0.000 μB/cell
* Fermi-level density of states: 26.5 states/eV per cell
* E: -5.2649 eV per atom

=====

Entry 5:
Compound: La5Ho2Th
Source: Alexandria
Functional: GGA-PBE
Structure: relaxed

a b c (Å): 7.3282 14.6464 5.1682
angles (deg): 90.00 90.00 90.00
Space group Pbam (No. 55)
Inequivalent atoms, fractional coordinates:
La: 0.0000 0.0000 0.0000 [2 per cell]
La: 0.0100 0.2533 0.0000 [4 per cell]
La: 0.2470 0.3774 0.5000 [4 per cell]
Ho: 0.2378 0.6202 0.5000 [4 per cell]
Th: 0.0000 0.5000 0.0000 [2 per cell]

Results
* E_form: 22 meV per atom
* V: 555 Å³ per cell
* total magnetic moment: 0.000 μB/cell
* Fermi-level density of states: 20.3 states/eV per cell
* E: -5.1296 eV per atom

=====

Entry 6:
Compound: La5Ho2Th
Source: Alexandria
Functional: GGA-PBE
Structure: relaxed

a b c (Å): 5.6581 12.0734 16.7396
angles (deg): 90.00 90.00 90.00
Space group Cmcm (No. 63)
Inequivalent atoms, fractional coordinates:
La: 0.0000 0.0317 0.2500 [4 per cell]
La: 0.0000 0.1273 0.5487 [8 per cell]
La: 0.0000 0.4301 0.5983 [8 per cell]
Ho: 0.0000 0.2727 0.1379 [8 per cell]
Th: 0.0000 0.2415 0.7500 [4 per cell]

Results
* E_form: 115 meV per atom
* V: 1144 Å³ per cell
* total magnetic moment: 0.000 μB/cell
* Fermi-level density of states: 46.1 states/eV per cell
* E: -5.0366 eV per atom

=====

Entry 7:
Compound: La4Ho8Th
Source: Alexandria
Functional: GGA-PBE
Structure: relaxed

a b c (Å): 11.0618 11.0618 13.4934
angles (deg): 90.00 90.00 120.00
Space group R-3m (No. 166, hexagonal axes)
Inequivalent atoms, fractional coordinates:
La: 0.0000 0.0000 0.0000 [3 per cell]
La: 0.0000 0.5000 0.0000 [9 per cell]
Ho: 0.0000 0.0000 0.2411 [6 per cell]
Ho: 0.0114 0.5057 0.7464 [18 per cell]
Th: 0.0000 0.0000 0.5000 [3 per cell]

Results
* E_form: 529 meV per atom
* V: 1430 Å³ per cell
* total magnetic moment: 5.100 μB/cell
* Fermi-level density of states: 73.6 states/eV per cell
* E: -4.3748 eV per atom

=====

Entry 8:
Compound: La3Ho3Th
Source: Alexandria
Functional: GGA-PBE
Structure: relaxed

a b c (Å): 11.3576 3.5951 11.8625
angles (deg): 90.00 91.14 90.00
Space group P2_1/m (No. 11)
Inequivalent atoms, fractional coordinates:
La: 0.0130 0.2500 0.3653 [2 per cell]
La: 0.0553 0.2500 0.8942 [2 per cell]
La: 0.4443 0.2500 0.8877 [2 per cell]
Ho: 0.2470 0.2500 0.6760 [2 per cell]
Ho: 0.2572 0.2500 0.1626 [2 per cell]
Ho: 0.2624 0.7500 0.4286 [2 per cell]
Th: 0.4955 0.7500 0.6291 [2 per cell]

Results
* E_form: 125 meV per atom
* V: 484 Å³ per cell
* total magnetic moment: 0.000 μB/cell
* Fermi-level density of states: 18.0 states/eV per cell
* E: -5.0086 eV per atom

=====

Entry 9:
Compound: La12Ho2Th
Source: Alexandria
Functional: GGA-PBE
Structure: relaxed

a b c (Å): 7.6014 7.6014 19.9792
angles (deg): 90.00 90.00 90.00
Space group P4/nbm (No. 125, origin choice 2)
Inequivalent atoms, fractional coordinates:
La: 0.0232 0.5232 0.1057 [8 per cell]
La: 0.0880 0.5880 0.4254 [8 per cell]
La: 0.2500 0.2500 0.1620 [4 per cell]
La: 0.2500 0.2500 0.3045 [4 per cell]
Ho: 0.2500 0.7500 0.2428 [4 per cell]
Th: 0.2500 0.7500 0.0000 [2 per cell]

Results
* E_form: 509 meV per atom
* V: 1154 Å³ per cell
* total magnetic moment: 0.000 μB/cell
* Fermi-level density of states: 52.7 states/eV per cell
* E: -4.5377 eV per atom

=====

Entry 10:
Compound: LaHo6Th4
Source: Alexandria
Functional: GGA-PBE
Structure: relaxed

a b c (Å): 3.4359 5.8649 35.7998
angles (deg): 90.00 90.00 90.00
Space group Immm (No. 71)
Inequivalent atoms, fractional coordinates:
La: 0.0000 0.0000 0.0000 [2 per cell]
Ho: 0.0000 0.5000 0.1318 [4 per cell]
Ho: 0.0000 0.5000 0.2330 [4 per cell]
Ho: 0.0000 0.5000 0.4024 [4 per cell]
Th: 0.0000 0.0000 0.1826 [4 per cell]
Th: 0.0000 0.0000 0.4549 [4 per cell]

Results
* E_form: 173 meV per atom
* V: 721 Å³ per cell
* total magnetic moment: 0.000 μB/cell
* Fermi-level density of states: 33.7 states/eV per cell
* E: -5.4703 eV per atom

=====

Entry 11:
Compound: La5Ho4Th2
Source: Alexandria
Functional: GGA-PBE
Structure: relaxed

a b c (Å): 8.9734 3.5376 11.8858
angles (deg): 90.00 93.97 90.00
Space group P2/m (No. 10)
Inequivalent atoms, fractional coordinates:
La: 0.0000 0.0000 0.0000 [1 per cell]
La: 0.0805 0.0000 0.2903 [2 per cell]
La: 0.3076 0.0000 0.8312 [2 per cell]
Ho: 0.2035 0.5000 0.5490 [2 per cell]
Ho: 0.3428 0.5000 0.1046 [2 per cell]
Th: 0.4518 0.0000 0.3666 [2 per cell]

Results
* E_form: 108 meV per atom
* V: 376 Å³ per cell
* total magnetic moment: 0.000 μB/cell
* Fermi-level density of states: 19.7 states/eV per cell
* E: -5.1452 eV per atom

=====

Entry 12:
Compound: La8Ho3Th2
Source: Alexandria
Functional: GGA-PBE
Structure: relaxed

a b c (Å): 21.0260 7.5422 5.8479
angles (deg): 90.00 90.04 90.00
Space group C2/m (No. 12)
Inequivalent atoms, fractional coordinates:
La: 0.1053 0.2024 0.0002 [8 per cell]
La: 0.1348 0.5000 0.4991 [4 per cell]
La: 0.1756 0.0000 0.5014 [4 per cell]
Ho: 0.0000 0.2258 0.5000 [4 per cell]
Ho: 0.0000 0.5000 0.0000 [2 per cell]
Th: 0.2430 0.5000 0.9980 [4 per cell]

Results
* E_form: 220 meV per atom
* V: 927 Å³ per cell
* total magnetic moment: 0.000 μB/cell
* Fermi-level density of states: 38.1 states/eV per cell
* E: -5.0105 eV per atom

=====

Entry 13:
Compound: La6Ho8Th
Source: Alexandria
Functional: GGA-PBE
Structure: relaxed

a b c (Å): 9.1034 9.1034 21.2232
angles (deg): 90.00 90.00 120.00
Space group R-3 (No. 148, hexagonal axes)
Inequivalent atoms, fractional coordinates:
La: 0.0512 0.2483 0.2132 [18 per cell]
Ho: 0.0000 0.0000 0.0769 [6 per cell]
Ho: 0.0807 0.5758 0.3036 [18 per cell]
Th: 0.0000 0.0000 0.5000 [3 per cell]

Results
* E_form: 114 meV per atom
* V: 1523 Å³ per cell
* total magnetic moment: 0.004 μB/cell
* Fermi-level density of states: 71.5 states/eV per cell
* E: -4.7927 eV per atom

=====

Entry 14:
Compound: La4Ho5Th2
Source: Alexandria
Functional: GGA-PBE
Structure: relaxed

a b c (Å): 3.6154 8.8382 11.9440
angles (deg): 76.63 81.32 89.99
Space group P-1 (No. 2)
Inequivalent atoms, fractional coordinates:
La: 0.0849 0.2128 0.3290 [2 per cell]
La: 0.2702 0.6784 0.9581 [2 per cell]
Ho: 0.0000 0.5000 0.5000 [1 per cell]
Ho: 0.1793 0.9472 0.1401 [2 per cell]
Ho: 0.3655 0.4039 0.7702 [2 per cell]
Th: 0.4550 0.1401 0.5931 [2 per cell]

Results
* E_form: 33 meV per atom
* V: 367 Å³ per cell
* total magnetic moment: 0.000 μB/cell
* Fermi-level density of states: 15.8 states/eV per cell
* E: -5.1891 eV per atom

=====

Entry 15:
Compound: La12Ho6Th
Source: Alexandria
Functional: GGA-PBE
Structure: relaxed

a b c (Å): 16.0075 16.0075 8.9539
angles (deg): 90.00 90.00 120.00
Space group R-3 (No. 148, hexagonal axes)
Inequivalent atoms, fractional coordinates:
La: 0.0360 0.7568 0.3385 [18 per cell]
La: 0.0748 0.5105 0.6660 [18 per cell]
Ho: 0.0166 0.8816 0.6684 [18 per cell]
Th: 0.0000 0.0000 0.0000 [3 per cell]

Results
* E_form: 31 meV per atom
* V: 1987 Å³ per cell
* total magnetic moment: 0.000 μB/cell
* Fermi-level density of states: 105.5 states/eV per cell
* E: -4.9173 eV per atom

=====

Entry 16:
Compound: La3Ho12Th
Source: Alexandria
Functional: GGA-PBE
Structure: relaxed

a b c (Å): 5.0523 5.0523 20.2175
angles (deg): 90.00 90.00 90.00
Space group P4/mmm (No. 123)
Inequivalent atoms, fractional coordinates:
La: 0.0000 0.0000 0.0000 [1 per cell]
La: 0.0000 0.0000 0.2511 [2 per cell]
Ho: 0.0000 0.5000 0.1262 [4 per cell]
Ho: 0.0000 0.5000 0.3792 [4 per cell]
Ho: 0.5000 0.5000 0.0000 [1 per cell]
Ho: 0.5000 0.5000 0.2517 [2 per cell]
Ho: 0.5000 0.5000 0.5000 [1 per cell]
Th: 0.0000 0.0000 0.5000 [1 per cell]

Results
* E_form: 33 meV per atom
* V: 516 Å³ per cell
* total magnetic moment: 0.000 μB/cell
* Fermi-level density of states: 26.0 states/eV per cell
* E: -4.7875 eV per atom

=====

Entry 17:
Compound: LaHo8Th2
Source: Alexandria
Functional: GGA-PBE
Structure: relaxed

a b c (Å): 19.1212 7.0140 5.5389
angles (deg): 90.00 92.23 90.00
Space group C2/m (No. 12)
Inequivalent atoms, fractional coordinates:
La: 0.0000 0.0000 0.0000 [2 per cell]
Ho: 0.0473 0.5000 0.2397 [4 per cell]
Ho: 0.1333 0.2703 0.7375 [8 per cell]
Ho: 0.1843 0.0000 0.2345 [4 per cell]
Th: 0.2173 0.5000 0.2583 [4 per cell]

Results
* E_form: 171 meV per atom
* V: 742 Å³ per cell
* total magnetic moment: 0.000 μB/cell
* Fermi-level density of states: 32.7 states/eV per cell
* E: -4.9548 eV per atom

=====

Entry 18:
Compound: La2Ho7Th2
Source: Alexandria
Functional: GGA-PBE
Structure: relaxed

a b c (Å): 9.8306 9.6067 8.1432
angles (deg): 90.00 106.73 90.00
Space group C2/m (No. 12)
Inequivalent atoms, fractional coordinates:
La: 0.0000 0.2000 0.0000 [4 per cell]
Ho: 0.0000 0.0000 0.5000 [2 per cell]
Ho: 0.1869 0.2916 0.6683 [8 per cell]
Ho: 0.2065 0.5000 0.0135 [4 per cell]
Th: 0.0911 0.5000 0.3294 [4 per cell]

Results
* E_form: 193 meV per atom
* V: 736 Å³ per cell
* total magnetic moment: 0.000 μB/cell
* Fermi-level density of states: 31.7 states/eV per cell
* E: -4.9650 eV per atom